First-principles (PBE) data for a relaxed structure of Sc3TaCr, as listed in Alexandria via LeMat-Bulk.

The structure in extended XYZ format:
```
5
Lattice="4.740 0.000 0.000 0.000 4.740 0.000 0.000 0.000 4.740" Properties=species:S:1:pos:R:3 pbc="T T T"
Sc 0.000 0.000 2.370
Sc 0.000 2.370 0.000
Sc 2.370 0.000 0.000
Ta 2.370 2.370 2.370
Cr 0.000 0.000 0.000
```

## Properties
M_tot	0.00	μB per cell
V	106.5	Å³ per cell
E above lowest polymorph	0.0	meV per atom
energy of formation	81	kJ per mole of atoms

First-principles (PBE) data for a relaxed structure of ScTaCr2, as listed in Alexandria via LeMat-Bulk.

The structure in extended XYZ format:
```
4
Lattice="2.981 0.000 0.000 0.000 2.981 0.000 0.000 0.000 7.158" Properties=species:S:1:pos:R:3 pbc="T T T"
Sc 0.000 0.000 0.000
Ta 1.490 1.490 2.254
Cr 0.000 0.000 4.005
Cr 1.490 1.490 5.201
```

## Properties
M_tot	0.21	μB per cell
V	63.6	Å³ per cell
energy of formation	19	kJ per mole of atoms

First-principles (PBE) data for a relaxed structure of ScTaCr2, as listed in Alexandria via LeMat-Bulk.

The structure in extended XYZ format:
```
4
Lattice="2.673 0.000 0.000 0.000 4.555 0.000 0.000 0.000 5.204" Properties=species:S:1:pos:R:3 pbc="T T T"
Sc 0.000 0.000 0.000
Ta 1.336 2.278 1.473
Cr 0.000 0.000 2.686
Cr 1.336 2.278 4.001
```

## Properties
M_tot	0.43	μB per cell
V	63.4	Å³ per cell
energy of formation	48	kJ per mole of atoms

First-principles (PBE) data for a relaxed structure of ScTaCr2, as listed in Alexandria via LeMat-Bulk.

The structure in extended XYZ format:
```
8
Lattice="3.190 0.000 0.000 0.000 4.674 0.000 0.000 0.000 8.422" Properties=species:S:1:pos:R:3 pbc="T T T"
Sc 0.000 0.000 0.000
Sc 1.595 2.337 4.211
Ta 0.000 0.000 4.211
Ta 1.595 2.337 0.000
Cr 0.000 2.337 2.019
Cr 0.000 2.337 6.403
Cr 1.595 0.000 2.192
Cr 1.595 0.000 6.230
```

## Properties
M_tot	0.01	μB per cell
V	125.6	Å³ per cell
energy of formation	39	kJ per mole of atoms

First-principles (PBE) data for a relaxed structure of ScTaCr2, as listed in Alexandria via LeMat-Bulk.

The structure in extended XYZ format:
```
4
Lattice="4.492 0.000 0.000 0.000 4.492 0.000 0.000 0.000 3.182" Properties=species:S:1:pos:R:3 pbc="T T T"
Sc 0.000 0.000 0.000
Ta 2.246 2.246 0.000
Cr 0.000 2.246 1.591
Cr 2.246 0.000 1.591
```

## Properties
M_tot	3.63	μB per cell
V	64.2	Å³ per cell
energy of formation	21	kJ per mole of atoms

First-principles (PBE) data for a relaxed structure of ScTaCr2, as listed in Alexandria via LeMat-Bulk.

The structure in extended XYZ format:
```
4
Lattice="2.934 0.000 0.000 0.000 3.724 0.000 -1.340 0.000 5.925" Properties=species:S:1:pos:R:3 pbc="T T T"
Sc 0.000 0.000 0.000
Ta 1.405 1.862 1.932
Cr -0.380 0.000 3.283
Cr 0.375 1.862 4.305
```

## Properties
M_tot	0.00	μB per cell
V	64.8	Å³ per cell
energy of formation	29	kJ per mole of atoms

Summary of density in g cm⁻³
5.7, 8.6, 8.6, 8.7, 8.5, 8.5
(order as listed above)